1.
DFT (GGA-PBE) results for a relaxed NaTlCoPb2 crystal.

Values from the calculation:
magnetization = 0.247 μB per atom
V = 138.84 Å³/f.u.
calculated total energy = -17.49 eV/f.u.
calculated formation energy = 0.7 eV/f.u.

Lattice parameters (Å, degrees): 5.171 5.171 5.191 90.00 90.00 90.00
Sites, in units of the cell vectors:
1 Na 0.000 0.000 0.000
2 Tl 0.500 0.500 0.000
3 Co 0.500 0.500 0.500
4 Pb 0.000 0.500 0.500
5 Pb 0.500 0.000 0.500

***

2.
DFT (GGA-PBE) results for a relaxed LaN2Cl4 crystal.

Values from the calculation:
magnetization = 1.013 μB per atom
formation energy from raw total energies = 257.3 meV per atom
V = 226.30 Å³/f.u.
calculated total energy = -27.16 eV/f.u.

Lattice parameters (Å, degrees): 9.845 9.845 9.845 153.86 147.35 42.30
Sites, in units of the cell vectors:
1 La 0.000 0.000 0.000
2 N 0.260 0.260 0.000
3 N 0.740 0.740 0.000
4 Cl 0.094 0.594 0.500
5 Cl 0.430 0.930 0.500
6 Cl 0.570 0.070 0.500
7 Cl 0.906 0.406 0.500

***

3.
DFT (GGA-PBE) results for a relaxed BaZrCd crystal.

Values from the calculation:
magnetization = 0.000 μB per atom
distance to the lowest polymorph of the same formula = 20 kJ/mol of formula units
V = 95.38 Å³/f.u.
calculated total energy = -10.92 eV/f.u.
calculated formation energy = 0.5 eV/f.u.

Lattice parameters (Å, degrees): 6.824 6.824 5.519 90.06 90.06 47.93
Sites, in units of the cell vectors:
1 Ba 0.000 0.000 0.000
2 Ba 0.591 0.409 0.500
3 Zr 0.379 0.057 0.500
4 Zr 0.943 0.621 0.500
5 Cd 0.251 0.346 0.000
6 Cd 0.654 0.749 0.000

***

4.
DFT (GGA-PBE) results for a relaxed CaTcSe crystal.

Values from the calculation:
magnetization = 0.000 μB per atom
formation energy from raw total energies = -683.0 meV per atom
distance to the lowest polymorph of the same formula = 16 kJ/mol of formula units
V = 71.30 Å³/f.u.
calculated total energy = -17.90 eV/f.u.

Lattice parameters (Å, degrees): 9.920 9.920 9.920 24.06 24.06 24.06
Sites, in units of the cell vectors:
1 Ca 0.000 0.000 0.000
2 Ca 0.128 0.128 0.128
3 Tc 0.233 0.233 0.233
4 Tc 0.882 0.882 0.882
5 Se 0.603 0.603 0.603
6 Se 0.730 0.730 0.730

***

5.
DFT (GGA-PBE) results for a relaxed Ba2LaRe crystal.

Values from the calculation:
magnetization = 0.215 μB per atom
distance to the lowest polymorph of the same formula = 0 kJ/mol of formula units
V = 166.47 Å³/f.u.
calculated total energy = -19.21 eV/f.u.
calculated formation energy = 2.0 eV/f.u.

Lattice parameters (Å, degrees): 4.787 4.787 8.838 105.66 105.66 59.89
Sites, in units of the cell vectors:
1 Ba 0.000 0.000 0.000
2 Ba 0.181 0.181 0.548
3 La 0.424 0.424 0.275
4 Re 0.758 0.758 0.278

***

6.
DFT (GGA-PBE) results for a relaxed TbPm2TlC crystal.

Values from the calculation:
magnetization = 0.000 μB per atom
V = 128.44 Å³/f.u.
calculated total energy = -27.48 eV/f.u.
calculated formation energy = -1.8 eV/f.u.

Lattice parameters (Å, degrees): 5.089 5.089 4.959 90.00 90.00 90.00
Sites, in units of the cell vectors:
1 Tb 0.000 0.000 0.000
2 Pm 0.000 0.500 0.500
3 Pm 0.500 0.000 0.500
4 Tl 0.500 0.500 0.000
5 C 0.000 0.000 0.500

***

7.
DFT (GGA-PBE) results for a relaxed NdDy2Hg8 crystal.

Values from the calculation:
magnetization = 0.000 μB per atom
distance to the lowest polymorph of the same formula = 0 kJ/mol of formula units
V = 275.18 Å³/f.u.
calculated total energy = -19.98 eV/f.u.
calculated formation energy = -3.6 eV/f.u.

Lattice parameters (Å, degrees): 8.431 8.431 7.274 108.11 108.11 34.24
Sites, in units of the cell vectors:
1 Nd 0.000 0.000 0.000
2 Dy 0.286 0.286 0.346
3 Dy 0.714 0.714 0.654
4 Hg 0.098 0.098 0.463
5 Hg 0.177 0.177 0.906
6 Hg 0.350 0.350 0.810
7 Hg 0.470 0.470 0.272
8 Hg 0.530 0.530 0.728
9 Hg 0.650 0.650 0.190
10 Hg 0.823 0.823 0.094
11 Hg 0.902 0.902 0.537

***

8.
DFT (GGA-PBE) results for a relaxed Pm9Er4Al11 crystal.

Values from the calculation:
magnetization = 0.000 μB per atom
V = 608.66 Å³/f.u.
calculated total energy = -109.36 eV/f.u.
calculated formation energy = -7.2 eV/f.u.

Lattice parameters (Å, degrees): 13.611 13.611 3.463 90.00 90.00 108.44
Sites, in units of the cell vectors:
1 Pm 0.000 0.000 0.000
2 Pm 0.118 0.655 0.000
3 Pm 0.294 0.476 0.000
4 Pm 0.345 0.882 0.000
5 Pm 0.476 0.294 0.000
6 Pm 0.524 0.706 0.000
7 Pm 0.655 0.118 0.000
8 Pm 0.706 0.524 0.000
9 Pm 0.882 0.345 0.000
10 Er 0.083 0.254 0.000
11 Er 0.254 0.083 0.000
12 Er 0.746 0.917 0.000
13 Er 0.917 0.746 0.000
14 Al 0.082 0.449 0.500
15 Al 0.124 0.876 0.500
16 Al 0.277 0.277 0.500
17 Al 0.320 0.680 0.500
18 Al 0.449 0.082 0.500
19 Al 0.500 0.500 0.500
20 Al 0.551 0.918 0.500
21 Al 0.680 0.320 0.500
22 Al 0.723 0.723 0.500
23 Al 0.876 0.124 0.500
24 Al 0.918 0.551 0.500

***

9.
DFT (GGA-PBE) results for a relaxed Y5Cu2Pd crystal.

Values from the calculation:
magnetization = 0.001 μB per atom
V = 195.88 Å³/f.u.
calculated total energy = -48.36 eV/f.u.
calculated formation energy = -2.7 eV/f.u.

Lattice parameters (Å, degrees): 9.220 9.220 9.220 134.55 134.55 66.22
Sites, in units of the cell vectors:
1 Y 0.000 0.000 0.000
2 Y 0.022 0.522 0.842
3 Y 0.180 0.022 0.500
4 Y 0.320 0.820 0.842
5 Y 0.478 0.320 0.500
6 Y 0.500 0.500 0.000
7 Y 0.522 0.680 0.500
8 Y 0.680 0.180 0.158
9 Y 0.820 0.978 0.500
10 Y 0.978 0.478 0.158
11 Cu 0.122 0.378 0.500
12 Cu 0.378 0.878 0.256
13 Cu 0.622 0.122 0.744
14 Cu 0.878 0.622 0.500
15 Pd 0.250 0.250 0.000
16 Pd 0.750 0.750 0.000

***

10.
DFT (GGA-PBE) results for a relaxed CeNd2Ga4 crystal.

Values from the calculation:
magnetization = 0.101 μB per atom
V = 173.39 Å³/f.u.
calculated total energy = -31.73 eV/f.u.
calculated formation energy = -4.2 eV/f.u.

Lattice parameters (Å, degrees): 9.884 9.884 9.884 155.44 154.37 35.79
Sites, in units of the cell vectors:
1 Ce 0.000 0.000 0.000
2 Nd 0.184 0.684 0.500
3 Nd 0.816 0.316 0.500
4 Ga 0.358 0.858 0.500
5 Ga 0.434 0.434 0.000
6 Ga 0.566 0.566 0.000
7 Ga 0.642 0.142 0.500

***

11.
DFT (GGA-PBE) results for a relaxed CaPd3N crystal.

Values from the calculation:
magnetization = 0.000 μB per atom
formation energy from raw total energies = -205.5 meV per atom
distance to the lowest polymorph of the same formula = 0 kJ/mol of formula units
V = 78.85 Å³/f.u.
calculated total energy = -26.93 eV/f.u.

Lattice parameters (Å, degrees): 4.288 4.288 4.288 90.00 90.00 90.00
Sites, in units of the cell vectors:
1 Ca 0.000 0.000 0.000
2 Pd 0.000 0.500 0.500
3 Pd 0.500 0.000 0.500
4 Pd 0.500 0.500 0.000
5 N 0.500 0.500 0.500

***

12.
DFT (GGA-PBE) results for a relaxed NdNb3O9 crystal.

Values from the calculation:
magnetization = 0.000 μB per atom
formation energy from raw total energies = -2740.3 meV per atom
distance to the lowest polymorph of the same formula = 40 kJ/mol of formula units
V = 189.55 Å³/f.u.
calculated total energy = -115.23 eV/f.u.

Lattice parameters (Å, degrees): 5.597 8.877 8.941 101.54 108.22 107.99
Sites, in units of the cell vectors:
1 Nd 0.166 0.344 0.001
2 Nd 0.834 0.656 0.999
3 Nb 0.154 0.069 0.247
4 Nb 0.171 0.597 0.742
5 Nb 0.494 0.247 0.728
6 Nb 0.506 0.753 0.272
7 Nb 0.829 0.403 0.258
8 Nb 0.846 0.931 0.753
9 O 0.000 0.000 0.000
10 O 0.000 0.500 0.500
11 O 0.008 0.254 0.236
12 O 0.170 0.600 0.261
13 O 0.172 0.115 0.784
14 O 0.251 0.635 0.995
15 O 0.298 0.163 0.495
16 O 0.349 0.922 0.242
17 O 0.375 0.435 0.800
18 O 0.475 0.253 0.221
19 O 0.525 0.747 0.779
20 O 0.625 0.565 0.200
21 O 0.651 0.078 0.758
22 O 0.702 0.837 0.505
23 O 0.749 0.365 0.005
24 O 0.828 0.885 0.216
25 O 0.830 0.400 0.739
26 O 0.992 0.746 0.764

***

13.
DFT (GGA-PBE) results for a relaxed ScInPd crystal.

Values from the calculation:
magnetization = 0.000 μB per atom
V = 59.83 Å³/f.u.
calculated total energy = -16.10 eV/f.u.
calculated formation energy = -1.8 eV/f.u.

Lattice parameters (Å, degrees): 4.644 4.644 3.203 90.00 90.00 120.00
Sites, in units of the cell vectors:
1 Sc 0.000 0.000 0.000
2 In 0.667 0.333 0.500
3 Pd 0.333 0.667 0.500

***

14.
DFT (GGA-PBE) results for a relaxed SrSc2CoP crystal.

Values from the calculation:
magnetization = 0.082 μB per atom
V = 112.85 Å³/f.u.
calculated total energy = -27.67 eV/f.u.
calculated formation energy = -0.8 eV/f.u.

Lattice parameters (Å, degrees): 5.100 5.100 4.338 90.00 90.00 90.00
Sites, in units of the cell vectors:
1 Sr 0.000 0.000 0.000
2 Sc 0.000 0.500 0.500
3 Sc 0.500 0.000 0.500
4 Co 0.500 0.500 0.000
5 P 0.500 0.500 0.500

***

15.
DFT (GGA-PBE) results for a relaxed Cs2SnWBr6 crystal.

Values from the calculation:
magnetization = 0.400 μB per atom
formation energy from raw total energies = -830.2 meV per atom
V = 370.14 Å³/f.u.
calculated total energy = -37.00 eV/f.u.

Lattice parameters (Å, degrees): 8.063 8.063 8.063 120.10 120.10 89.82
Sites, in units of the cell vectors:
1 Cs 0.250 0.750 0.500
2 Cs 0.750 0.250 0.500
3 Sn 0.000 0.000 0.000
4 W 0.500 0.500 0.000
5 Br 0.267 0.267 0.000
6 Br 0.267 0.267 0.534
7 Br 0.267 0.733 0.000
8 Br 0.733 0.267 0.000
9 Br 0.733 0.733 0.000
10 Br 0.733 0.733 0.466

***

16.
DFT (GGA-PBE) results for a relaxed CaLa12Tb5 crystal.

Values from the calculation:
magnetization = 0.000 μB per atom
V = 642.93 Å³/f.u.
calculated total energy = -83.79 eV/f.u.
calculated formation energy = 0.5 eV/f.u.

Lattice parameters (Å, degrees): 11.076 11.076 6.423 106.51 106.51 59.74
Sites, in units of the cell vectors:
1 Ca 0.000 0.000 0.000
2 La 0.003 0.658 0.662
3 La 0.163 0.505 0.164
4 La 0.176 0.824 0.500
5 La 0.337 0.663 0.000
6 La 0.342 0.997 0.338
7 La 0.495 0.837 0.836
8 La 0.505 0.163 0.164
9 La 0.658 0.003 0.662
10 La 0.663 0.337 0.000
11 La 0.824 0.176 0.500
12 La 0.837 0.495 0.836
13 La 0.997 0.342 0.338
14 Tb 0.169 0.169 0.827
15 Tb 0.334 0.334 0.662
16 Tb 0.500 0.500 0.500
17 Tb 0.666 0.666 0.338
18 Tb 0.831 0.831 0.173

***

17.
DFT (GGA-PBE) results for a relaxed ScMnSn crystal.

Values from the calculation:
magnetization = 0.324 μB per atom
V = 64.07 Å³/f.u.
calculated total energy = -19.02 eV/f.u.
calculated formation energy = 0.5 eV/f.u.

Lattice parameters (Å, degrees): 6.416 6.416 3.117 90.00 90.00 93.11
Sites, in units of the cell vectors:
1 Sc 0.223 0.223 0.000
2 Sc 0.777 0.777 0.000
3 Mn 0.000 0.000 0.500
4 Mn 0.500 0.500 0.000
5 Sn 0.271 0.729 0.500
6 Sn 0.729 0.271 0.500

***

18.
DFT (GGA-PBE) results for a relaxed PmGa7Ni2 crystal.

Values from the calculation:
magnetization = 0.000 μB per atom
V = 206.80 Å³/f.u.
calculated total energy = -38.74 eV/f.u.
calculated formation energy = -1.2 eV/f.u.

Lattice parameters (Å, degrees): 7.568 7.568 4.147 90.00 90.00 119.45
Sites, in units of the cell vectors:
1 Pm 0.000 0.000 0.000
2 Ga 0.043 0.339 0.500
3 Ga 0.241 0.759 0.000
4 Ga 0.339 0.043 0.500
5 Ga 0.500 0.500 0.500
6 Ga 0.661 0.957 0.500
7 Ga 0.759 0.241 0.000
8 Ga 0.957 0.661 0.500
9 Ni 0.323 0.677 0.500
10 Ni 0.677 0.323 0.500

***

19.
DFT (GGA-PBE) results for a relaxed YHoBe2 crystal.

Values from the calculation:
magnetization = 0.000 μB per atom
distance to the lowest polymorph of the same formula = 0 kJ/mol of formula units
V = 79.02 Å³/f.u.
calculated total energy = -18.14 eV/f.u.
calculated formation energy = 0.4 eV/f.u.

Lattice parameters (Å, degrees): 4.807 4.807 3.420 90.00 90.00 90.00
Sites, in units of the cell vectors:
1 Y 0.000 0.000 0.000
2 Ho 0.500 0.500 0.000
3 Be 0.000 0.500 0.500
4 Be 0.500 0.000 0.500

***

20.
DFT (GGA-PBE) results for a relaxed SrBiSe2 crystal.

Values from the calculation:
magnetization = 0.000 μB per atom
formation energy from raw total energies = -742.1 meV per atom
V = 151.62 Å³/f.u.
calculated total energy = -15.50 eV/f.u.

Lattice parameters (Å, degrees): 9.275 9.275 9.275 27.64 27.64 27.64
Sites, in units of the cell vectors:
1 Sr 0.000 0.000 0.000
2 Bi 0.500 0.500 0.500
3 Se 0.398 0.398 0.398
4 Se 0.602 0.602 0.602

***

21.
DFT (GGA-PBE) results for a relaxed Cd3Ag4Au2 crystal.

Values from the calculation:
magnetization = 0.000 μB per atom
distance to the lowest polymorph of the same formula = 0 kJ/mol of formula units
V = 169.93 Å³/f.u.
calculated total energy = -21.54 eV/f.u.
calculated formation energy = -0.8 eV/f.u.

Lattice parameters (Å, degrees): 6.838 6.838 6.858 107.81 107.81 34.00
Sites, in units of the cell vectors:
1 Cd 0.000 0.000 0.000
2 Cd 0.118 0.118 0.671
3 Cd 0.882 0.882 0.329
4 Ag 0.220 0.220 0.334
5 Ag 0.444 0.444 0.663
6 Ag 0.556 0.556 0.337
7 Ag 0.780 0.780 0.666
8 Au 0.336 0.336 0.000
9 Au 0.664 0.664 0.000

***

22.
DFT (GGA-PBE) results for a relaxed TlPW2 crystal.

Values from the calculation:
magnetization = 0.000 μB per atom
distance to the lowest polymorph of the same formula = 252 kJ/mol of formula units
V = 65.87 Å³/f.u.
calculated total energy = -29.97 eV/f.u.
calculated formation energy = 3.7 eV/f.u.

Lattice parameters (Å, degrees): 4.533 4.533 4.533 60.00 60.00 60.00
Sites, in units of the cell vectors:
1 Tl 0.000 0.000 0.000
2 P 0.500 0.500 0.500
3 W 0.250 0.250 0.250
4 W 0.750 0.750 0.750

***

23.
DFT (GGA-PBE) results for a relaxed SmDy2Ga2Cu2 crystal.

Values from the calculation:
magnetization = 0.000 μB per atom
V = 154.19 Å³/f.u.
calculated total energy = -30.91 eV/f.u.
calculated formation energy = -2.7 eV/f.u.

Lattice parameters (Å, degrees): 9.520 9.520 9.520 26.75 26.75 26.75
Sites, in units of the cell vectors:
1 Sm 0.000 0.000 0.000
2 Dy 0.125 0.125 0.125
3 Dy 0.875 0.875 0.875
4 Ga 0.261 0.261 0.261
5 Ga 0.739 0.739 0.739
6 Cu 0.402 0.402 0.402
7 Cu 0.598 0.598 0.598